# As2C

A geometry-optimized As2C structure (PBE-GGA, Alexandria via LeMat-Bulk).

Cell lengths 4.0824, 4.0824, 4.0824 Å; angles 60.00, 60.00, 60.00 degrees
Atoms (fractional coordinates):
As1 0.2500 0.2500 0.2500
As2 0.7500 0.7500 0.7500
C1 0.0000 0.0000 0.0000

Results
Energy above the lowest structure with this stoichiometry (eV per formula unit): 3.67
Formation enthalpy at 0 K (eV/atom): 1.72
Space group: Fm-3m, No. 225